(1)
Ta2CrIr, relaxed, DFT GGA-PBEsol; electronic total energy = -11.425 eV/atom; total magnetization = 0.0 μB/cell; N(E_F) = 3.8 states/eV per cell; space-group type = P2/m (10); formation energy from the elements = -133 meV per atom
1.0
2.766 0.000 -0.002
0.000 4.214 0.000
-0.977 0.000 5.188
Cr Ir Ta
1 1 2
Cartesian
1.383 2.107 -0.001
-0.489 2.107 2.594
0.537 0.000 1.251
1.252 0.000 3.934

=====

(2)
Sr4FeMo, relaxed, DFT GGA-PBEsol; electronic total energy = -3.062 eV/atom; total magnetization = 7.0 μB/cell; N(E_F) = 13.0 states/eV per cell; space-group type = F-43m (216); formation energy from the elements = 1620 meV per atom
1.0
6.612 0.000 0.000
3.306 5.726 0.000
3.306 1.909 5.399
Sr Mo Fe
4 1 1
Cartesian
4.959 2.863 2.025
6.612 3.817 4.723
6.612 5.726 2.025
8.265 2.863 2.025
0.000 0.000 0.000
9.918 5.726 4.049

=====

(3)
Cd2CoTc, relaxed, DFT GGA-PBEsol; electronic total energy = -4.813 eV/atom; total magnetization = 2.5 μB/cell; N(E_F) = 4.0 states/eV per cell; space-group type = F-43m (216); formation energy from the elements = 536 meV per atom; E above lowest polymorph = 267 meV per atom
1.0
4.449 0.000 0.000
2.225 3.853 0.000
2.225 1.284 3.633
Cd Tc Co
2 1 1
Cartesian
6.674 3.853 2.724
0.000 0.000 0.000
2.225 1.284 0.908
4.449 2.569 1.816

=====

(4)
MgIrSe3, relaxed, DFT GGA-PBEsol; electronic total energy = -3.586 eV/atom; uncorrected formation energy = 1.032 eV/atom; total magnetization = 0.0 μB/cell; N(E_F) = 3.8 states/eV per cell; space-group type = Pm-3m (221)
1.0
4.744 0.000 0.000
0.000 4.744 0.000
0.000 0.000 4.744
Ir Se Mg
1 3 1
Cartesian
2.372 2.372 2.372
0.000 0.000 2.372
2.372 0.000 0.000
0.000 2.372 0.000
0.000 0.000 0.000